Record 1
## Sr2CdCo (PBE)

Data for Sr2CdCo after structural relaxation.

Calculated values
- Calculated volume: 32.90 A^3/atom
- Crystal system: monoclinic
- Energy relative to the elements: 0.3254 eV/atom
- M_tot: 0.84 μB/cell
- Space-group type: No. 12

The structure in extended XYZ format:
```
4
Lattice="4.139 -0.182 0.106 2.304 3.444 0.106 1.790 0.906 9.028" Properties=species:S:1:pos:R:3 pbc="T T T"
Cd 6.175 3.126 6.929
Co 2.058 1.042 2.310
Sr 6.429 3.255 0.614
Sr 4.131 2.091 4.217
```

Record 2
## SrCd2Co (PBE)

Data for SrCd2Co after structural relaxation.

Calculated values
- Calculated volume: 29.74 A^3/atom
- Crystal system: tetragonal
- Energy relative to the elements: 0.3379 eV/atom
- M_tot: 2.13 μB/cell
- Space-group type: No. 122

The structure in extended XYZ format:
```
8
Lattice="-3.979 1.375 2.944 -0.853 -4.933 1.152 3.088 -1.071 9.154" Properties=species:S:1:pos:R:3 pbc="T T T"
Sr 0.000 0.000 0.000
Sr -1.653 -0.737 7.073
Co -2.416 -1.779 2.048
Co -0.090 -3.892 6.177
Cd -1.157 -0.254 3.781
Cd -0.922 -2.950 3.868
Cd 0.362 -2.961 8.594
Cd -1.769 -3.093 10.257
```

Record 3
## Sr2CdCo (PBE)

Data for Sr2CdCo after structural relaxation.

Calculated values
- Calculated volume: 28.65 A^3/atom
- Crystal system: monoclinic
- Energy relative to the elements: 0.1852 eV/atom
- M_tot: 0.80 μB/cell
- Space-group type: No. 10

The structure in extended XYZ format:
```
4
Lattice="-1.558 -2.459 -2.440 3.151 -2.096 0.101 0.159 -6.256 6.205" Properties=species:S:1:pos:R:3 pbc="T T T"
Cd 0.049 -3.318 0.357
Co 1.704 -7.494 3.510
Sr 0.244 -6.131 6.025
Sr 1.571 -4.302 3.334
```

Record 4
## SrCd2Co (PBE)

Data for SrCd2Co after structural relaxation.

Calculated values
- Calculated volume: 22.85 A^3/atom
- Crystal system: tetragonal
- Energy relative to the elements: 0.1597 eV/atom
- M_tot: 1.19 μB/cell
- Space-group type: No. 123

The structure in extended XYZ format:
```
4
Lattice="-1.295 2.159 2.426 -0.189 -2.660 2.268 6.926 1.512 2.350" Properties=species:S:1:pos:R:3 pbc="T T T"
Cd 0.433 0.095 0.147
Cd 3.030 0.662 1.028
Co 0.990 0.128 2.934
Sr 4.453 0.884 4.109
```

Record 5
## SrCd2Co (PBE)

Data for SrCd2Co after structural relaxation.

Calculated values
- Calculated volume: 24.75 A^3/atom
- Crystal system: orthorhombic
- Energy relative to the elements: 0.2129 eV/atom
- M_tot: 0.91 μB/cell
- Space-group type: No. 38

The structure in extended XYZ format:
```
4
Lattice="-0.382 -3.993 0.113 4.230 -0.436 -1.124 3.561 -0.203 4.856" Properties=species:S:1:pos:R:3 pbc="T T T"
Cd 0.324 -0.027 0.146
Cd 2.537 -2.238 0.742
Co 3.168 -0.237 2.318
Sr 5.275 -2.450 2.505
```

Record 6
## Sr2CdCo (PBE)

Data for Sr2CdCo after structural relaxation.

Calculated values
- Calculated volume: 36.36 A^3/atom
- Crystal system: tetragonal
- Energy relative to the elements: 0.2514 eV/atom
- M_tot: 0.00 μB/cell
- Space-group type: No. 122

The structure in extended XYZ format:
```
8
Lattice="-6.126 8.788 -0.493 -7.137 -5.311 -5.989 -7.847 1.009 -1.147" Properties=species:S:1:pos:R:3 pbc="T T T"
Sr -5.626 3.566 -1.258
Sr -8.244 -0.453 -4.177
Sr -12.089 1.145 -4.324
Sr -16.259 4.715 -5.499
Co -6.631 1.739 -3.241
Co -10.807 -1.282 -5.189
Cd 0.000 0.000 0.000
Cd -10.302 5.768 -2.440
```

Record 7
## SrCd2Co (PBE)

Data for SrCd2Co after structural relaxation.

Calculated values
- Calculated volume: 23.69 A^3/atom
- Crystal system: tetragonal
- Energy relative to the elements: 0.1857 eV/atom
- M_tot: 1.03 μB/cell
- Space-group type: No. 99

The structure in extended XYZ format:
```
4
Lattice="3.573 0.000 0.000 0.000 3.575 0.000 0.000 0.000 7.418" Properties=species:S:1:pos:R:3 pbc="T T T"
Cd 0.000 0.000 0.399
Cd 1.787 1.788 2.188
Co 0.000 0.000 3.189
Sr 1.787 1.788 5.351
```

Record 8
## Sr2Cd2Co (PBE)

Data for Sr2Cd2Co after structural relaxation.

Calculated values
- Calculated volume: 28.81 A^3/atom
- Crystal system: tetragonal
- Energy relative to the elements: 0.1610 eV/atom
- M_tot: 2.39 μB/cell
- E above lowest polymorph: 0 meV per atom
- Space-group type: No. 127

The structure in extended XYZ format:
```
10
Lattice="7.436 0.000 0.000 0.000 7.436 0.000 0.000 0.000 5.210" Properties=species:S:1:pos:R:3 pbc="T T T"
Sr 1.324 5.042 2.605
Sr 5.042 6.112 2.605
Sr 6.112 2.394 2.605
Sr 2.394 1.324 2.605
Co 0.000 0.000 0.000
Co 3.718 3.718 0.000
Cd 2.663 6.381 0.000
Cd 6.381 4.773 0.000
Cd 4.773 1.055 0.000
Cd 1.055 2.663 0.000
```

Record 9
## Sr4CdCo (PBE)

Data for Sr4CdCo after structural relaxation.

Calculated values
- Calculated volume: 42.05 A^3/atom
- Crystal system: cubic
- Energy relative to the elements: 0.8655 eV/atom
- M_tot: 1.17 μB/cell
- Space-group type: No. 216

The structure in extended XYZ format:
```
6
Lattice="0.000 5.015 5.015 5.015 0.000 5.015 5.015 5.015 0.000" Properties=species:S:1:pos:R:3 pbc="T T T"
Sr 3.760 6.271 6.271
Sr 6.271 6.271 3.760
Sr 6.271 3.760 6.271
Sr 3.760 3.760 3.760
Cd 7.523 7.523 7.523
Co 0.000 0.000 0.000
```

Record 10
## SrCd2Co (PBE)

Data for SrCd2Co after structural relaxation.

Calculated values
- Calculated volume: 25.49 A^3/atom
- Crystal system: monoclinic
- Energy relative to the elements: 0.0949 eV/atom
- M_tot: 0.75 μB/cell
- Space-group type: No. 8

The structure in extended XYZ format:
```
4
Lattice="4.636 -0.030 -0.008 2.338 4.004 -0.008 2.337 1.332 5.466" Properties=species:S:1:pos:R:3 pbc="T T T"
Cd 6.976 3.974 0.725
Cd 2.330 1.327 1.778
Co 4.655 2.652 1.640
Sr 6.981 3.977 4.019
```

Record 11
## SrCd2Co (PBE)

Data for SrCd2Co after structural relaxation.

Calculated values
- Calculated volume: 25.51 A^3/atom
- Crystal system: trigonal
- Energy relative to the elements: 0.1167 eV/atom
- M_tot: 0.89 μB/cell
- Space-group type: No. 166

The structure in extended XYZ format:
```
4
Lattice="-3.909 0.331 4.839 -1.179 -3.320 5.138 0.436 0.830 6.159" Properties=species:S:1:pos:R:3 pbc="T T T"
Cd -4.442 -2.062 15.408
Cd -2.535 -1.177 8.794
Co -1.163 -0.540 4.034
Sr -3.489 -1.619 12.101
```

Record 12
## Sr2Cd2Co (PBE)

Data for Sr2Cd2Co after structural relaxation.

Calculated values
- Calculated volume: 30.73 A^3/atom
- Crystal system: tetragonal
- Energy relative to the elements: 0.2579 eV/atom
- M_tot: 0.97 μB/cell
- E above lowest polymorph: 97 meV per atom
- Space-group type: No. 139

The structure in extended XYZ format:
```
5
Lattice="-2.205 -3.302 -0.534 3.157 -1.844 -1.637 3.114 -5.732 7.562" Properties=species:S:1:pos:R:3 pbc="T T T"
Sr 0.958 -3.150 0.495
Sr 3.108 -7.727 4.896
Co 0.000 0.000 0.000
Cd 0.693 -5.803 2.971
Cd 3.374 -5.074 2.420
```